[1]
The following is a PBE calculation of Ca3YZr2As6 after structural relaxation, from the Alexandria database.

Cell: 6.9866 6.9866 7.2528 Å, 99.28 99.28 120.05°
Closest atoms and distances in Å follow each position.
Positions (direct):
As: 0.2688 0.2688 0.7711  2 Zr 2.78, 1 Y 2.88, 3 Ca 2.92-2.99
As: 0.0770 0.4219 0.2300  2 Zr 2.77-2.78, 1 Y 2.88, 3 Ca 2.94-3.01
As: 0.9230 0.5781 0.7700  2 Zr 2.77-2.78, 1 Y 2.88, 3 Ca 2.94-3.01
As: 0.5781 0.9230 0.7700  2 Zr 2.77-2.78, 1 Y 2.88, 3 Ca 2.94-3.01
As: 0.7312 0.7312 0.2289  2 Zr 2.78, 1 Y 2.88, 3 Ca 2.92-2.99
As: 0.4219 0.0770 0.2300  2 Zr 2.77-2.78, 1 Y 2.88, 3 Ca 2.94-3.01
Y: 0.0000 0.0000 0.0000  6 As 2.88
Ca: 0.1636 0.8364 0.5000  6 As 2.94-3.01
Ca: 0.8364 0.1636 0.5000  6 As 2.94-3.01
Ca: 0.5000 0.5000 0.5000  6 As 2.92-3.01
Zr: 0.3326 0.6674 0.0000  6 As 2.77-2.78
Zr: 0.6674 0.3326 0.0000  6 As 2.77-2.78

## Properties
Formation enthalpy at 0 K: -1201 meV/atom


[2]
The following is a PBE calculation of KNpVCl6 after structural relaxation, from the Alexandria database.

Cell: 6.7102 6.7102 14.2299 Å, 90.00 90.00 120.00°
Closest atoms and distances in Å follow each position.
Positions (direct):
Cl: 0.9710 0.6238 0.8551  1 V 2.50, 1 Np 2.74
Cl: 0.6527 0.6238 0.6449  1 V 2.50, 1 Np 2.74
Cl: 0.0290 0.6527 0.3551  1 V 2.50, 1 Np 2.74
Cl: 0.6527 0.0290 0.8551  1 V 2.50, 1 Np 2.74
Cl: 0.3763 0.0290 0.6449  1 V 2.50, 1 Np 2.74
Cl: 0.3473 0.9710 0.1449  1 V 2.50, 1 Np 2.74
Cl: 0.0290 0.3762 0.1449  1 V 2.50, 1 Np 2.74
Cl: 0.9710 0.3473 0.6449  1 V 2.50, 1 Np 2.74
Cl: 0.3473 0.3762 0.3551  1 V 2.50, 1 Np 2.74
Cl: 0.3763 0.3473 0.8551  1 V 2.50, 1 Np 2.74
Cl: 0.6237 0.6527 0.1449  1 V 2.50, 1 Np 2.74
Cl: 0.6237 0.9710 0.3551  1 V 2.50, 1 Np 2.74
V: 0.6667 0.3333 0.7500  6 Cl 2.50
V: 0.3333 0.6667 0.2500  6 Cl 2.50
Np: 0.3333 0.6667 0.7500  6 Cl 2.74
Np: 0.6667 0.3333 0.2500  6 Cl 2.74
K: 0.0000 0.0000 0.0000  6 Cl 3.19
K: 0.0000 0.0000 0.5000  6 Cl 3.19

## Properties
Energy: -5.4016 eV per atom


[3]
The following is a PBE calculation of InH3Ru after structural relaxation, from the Alexandria database.

Cell: 3.5829 3.5829 3.5829 Å, 90.00 90.00 90.00°
Closest atoms and distances in Å follow each position.
Positions (direct):
Ru: 0.0000 0.0000 0.0000  6 H 1.79
In: 0.5000 0.5000 0.5000  12 H 2.53
H: 0.0000 0.5000 0.0000  2 Ru 1.79
H: 0.5000 0.0000 0.0000  2 Ru 1.79
H: 0.0000 0.0000 0.5000  2 Ru 1.79

## Properties
Energy: -4.2188 eV per atom